Entry from Alexandria via LeMat-Bulk: a relaxed AgGeAsCl2 crystal (PBE).

Cell and atoms, written as POSCAR:
```
AgGeAsCl2
1.0
4.887 0.000 0.000
0.000 4.887 0.000
0.000 0.000 5.324
Ag Ge As Cl
1 1 1 2
Cartesian
0.000 0.000 0.000 Ag
2.443 2.443 2.662 Ge
2.443 2.443 0.000 As
0.000 2.443 2.662 Cl
2.443 0.000 2.662 Cl
```

The energy above the most stable polymorph in this dataset comes out at 0.00 kJ per mole of atoms. The space group is P4/mmm, No. 123. Its calculated density is 4.3 g/cm³. The value obtained for the energy relative to the elements, uncorrected is 150 meV/atom. The magnetic moment comes out at 1.0 μB/f.u. The electronic total energy is -0.2214 Ry/atom.

***

Entry from Alexandria via LeMat-Bulk: a relaxed KGaGe crystal (PBE).

Cell and atoms, written as POSCAR:
```
KGaGe
1.0
4.284 0.000 0.000
0.000 7.438 0.000
0.000 0.000 10.984
K Ga Ge
4 4 4
Cartesian
0.000 0.000 2.723 K
0.000 0.000 8.262 K
2.142 3.719 2.770 K
2.142 3.719 8.215 K
0.000 2.475 0.000 Ga
0.000 4.963 0.000 Ga
2.142 1.244 5.492 Ga
2.142 6.194 5.492 Ga
0.000 2.480 5.492 Ge
0.000 4.958 5.492 Ge
2.142 1.239 0.000 Ge
2.142 6.198 0.000 Ge
```

The space group is Immm, No. 71. Its formation energy is -44 kJ/mol of formula units. Its calculated density is 3.4 g/cm³. The magnetic moment comes out at 0.0 μB/f.u. The electronic total energy is -0.2253 Ry/atom.

***

Entry from Alexandria via LeMat-Bulk: a relaxed Ca2ZnRhC crystal (PBE).

Cell and atoms, written as POSCAR:
```
Ca2ZnRhC
1.0
5.123 0.000 0.000
0.000 5.123 0.000
0.000 0.000 3.873
Ca Zn Rh C
2 1 1 1
Cartesian
0.000 2.561 0.000 Ca
2.561 0.000 0.000 Ca
0.000 0.000 1.936 Zn
2.561 2.561 1.936 Rh
2.561 2.561 0.000 C
```

The space group is P4/mmm, No. 123. Its formation energy is -100 kJ/mol of formula units. Its calculated density is 4.3 g/cm³. The magnetic moment comes out at 0.0 μB/f.u. The electronic total energy is -0.3364 Ry/atom.

***

Entry from Alexandria via LeMat-Bulk: a relaxed CsCrS2 crystal (PBE).

Cell and atoms, written as POSCAR:
```
CsCrS2
1.0
7.002 0.000 0.000
0.000 4.676 0.000
0.000 0.000 7.358
Cs Cr S
2 2 4
Cartesian
1.750 0.000 0.004 Cs
5.251 0.000 7.354 Cs
1.750 2.338 3.679 Cr
5.251 2.338 3.679 Cr
7.001 2.338 2.127 S
0.000 2.338 5.231 S
3.501 2.338 2.127 S
3.500 2.338 5.231 S
```

The energy above the most stable polymorph in this dataset comes out at 24.13 kJ per mole of atoms. The space group is Pmma, No. 51. Its calculated density is 3.4 g/cm³. The value obtained for the energy relative to the elements, uncorrected is -676 meV/atom. The magnetic moment comes out at 3.0 μB/f.u. The electronic total energy is -0.3939 Ry/atom.

***

Entry from Alexandria via LeMat-Bulk: a relaxed SmHoCBr crystal (PBE).

Cell and atoms, written as POSCAR:
```
SmHoCBr
1.0
3.706 0.000 0.000
-1.853 3.210 0.000
0.000 0.000 21.671
Sm Ho C Br
3 3 3 3
Cartesian
0.000 0.000 0.000 Sm
0.000 2.140 14.447 Sm
1.853 1.070 7.224 Sm
0.000 0.000 17.057 Ho
0.000 2.140 9.834 Ho
1.853 1.070 2.610 Ho
0.000 0.000 8.640 C
0.000 2.140 1.416 C
1.853 1.070 15.863 C
0.000 0.000 4.836 Br
0.000 2.140 19.283 Br
1.853 1.070 12.060 Br
```

The space group is R3m, No. 160. Its calculated density is 7.9 g/cm³. The value obtained for the energy relative to the elements, uncorrected is -932 meV/atom. The magnetic moment comes out at 0.0 μB/f.u. The electronic total energy is -0.4396 Ry/atom.

***

Entry from Alexandria via LeMat-Bulk: a relaxed Ta3Be8Co crystal (PBE).

Cell and atoms, written as POSCAR:
```
Ta3Be8Co
1.0
2.247 1.297 7.363
-2.247 1.297 7.363
0.000 -2.594 7.363
Ta Be Co
3 8 1
Cartesian
0.000 0.000 0.000 Ta
0.000 0.000 2.813 Ta
0.000 0.000 11.227 Ta
0.000 -1.300 5.147 Be
-1.126 0.650 5.147 Be
-1.106 -0.638 8.790 Be
0.000 0.000 6.960 Be
1.106 -0.638 8.790 Be
0.000 1.277 8.790 Be
1.126 0.650 5.147 Be
0.000 0.000 18.035 Be
0.000 0.000 13.856 Co
```

The space group is R3m, No. 160. Its formation energy is -263 kJ/mol of formula units. Its calculated density is 8.7 g/cm³. The magnetic moment comes out at 0.0 μB/f.u. The electronic total energy is -0.4606 Ry/atom.

***

Entry from Alexandria via LeMat-Bulk: a relaxed Na3HfH crystal (PBE).

Cell and atoms, written as POSCAR:
```
Na3HfH
1.0
4.856 0.000 0.000
0.000 4.856 0.000
0.000 0.000 4.856
Na Hf H
3 1 1
Cartesian
0.000 0.000 2.428 Na
0.000 2.428 0.000 Na
2.428 0.000 0.000 Na
2.428 2.428 2.428 Hf
0.000 0.000 0.000 H
```

The space group is Pm-3m, No. 221. Its calculated density is 3.6 g/cm³. The magnetic moment comes out at 0.0 μB/f.u. The electronic total energy is -0.1937 Ry/atom.

***

Entry from Alexandria via LeMat-Bulk: a relaxed La4YTh3N8 crystal (PBE).

Cell and atoms, written as POSCAR:
```
La4YTh3N8
1.0
3.674 2.121 6.039
-3.674 2.121 6.039
0.000 -4.243 6.039
La Y Th N
4 1 3 8
Cartesian
0.000 0.000 0.000 La
-1.837 -1.061 6.039 La
-1.837 1.061 12.079 La
0.000 2.121 6.039 La
0.000 0.000 9.059 Y
-3.674 0.000 9.059 Th
-1.837 1.061 3.020 Th
1.837 1.061 3.020 Th
-1.842 -1.064 10.444 N
0.000 0.000 4.396 N
0.000 -2.127 7.674 N
-1.842 1.064 7.674 N
1.842 -1.064 10.444 N
0.000 2.127 10.444 N
0.000 0.000 13.722 N
1.842 1.064 7.674 N
```

The space group is R-3m, No. 166. Its calculated density is 8.5 g/cm³. The value obtained for the energy relative to the elements, uncorrected is -1512 meV/atom. The magnetic moment comes out at 0.0 μB/f.u. The electronic total energy is -0.6396 Ry/atom.

***

Entry from Alexandria via LeMat-Bulk: a relaxed La3PmPrHo crystal (PBE).

Cell and atoms, written as POSCAR:
```
La3PmPrHo
1.0
8.187 0.000 0.000
0.000 5.249 0.000
-3.328 0.000 9.911
La Pm Pr Ho
6 2 2 2
Cartesian
1.238 1.312 0.430 La
-0.401 1.312 5.365 La
-1.236 3.937 7.843 La
6.095 1.312 2.069 La
5.260 3.937 4.546 La
3.621 3.937 9.481 La
3.655 3.937 1.256 Pm
1.204 1.312 8.655 Pm
0.425 3.937 2.912 Pr
4.435 1.312 6.999 Pr
2.833 1.312 3.743 Ho
2.026 3.937 6.168 Ho
```

The space group is P2_1/m, No. 11. Its formation energy is 13 kJ/mol of formula units. Its calculated density is 6.8 g/cm³. The magnetic moment comes out at 0.0 μB/f.u. The electronic total energy is -0.3523 Ry/atom.

***

Entry from Alexandria via LeMat-Bulk: a relaxed CaBe2Si crystal (PBE).

Cell and atoms, written as POSCAR:
```
CaBe2Si
1.0
4.018 0.000 0.000
0.000 4.018 0.000
0.000 0.000 3.863
Ca Be Si
1 2 1
Cartesian
0.000 0.000 0.000 Ca
0.000 2.009 1.932 Be
2.009 0.000 1.932 Be
2.009 2.009 0.000 Si
```

The space group is P4/mmm, No. 123. Its calculated density is 2.3 g/cm³. The value obtained for the energy relative to the elements, uncorrected is 396 meV/atom. The magnetic moment comes out at 0.0 μB/f.u. The electronic total energy is -0.2443 Ry/atom.

***

Entry from Alexandria via LeMat-Bulk: a relaxed CsLiBi2 crystal (PBE).

Cell and atoms, written as POSCAR:
```
CsLiBi2
1.0
8.273 0.000 0.000
0.000 8.273 0.000
0.000 0.000 8.273
Cs Li Bi
4 4 8
Cartesian
0.000 0.000 0.000 Cs
0.000 4.137 4.137 Cs
4.137 0.000 4.137 Cs
4.137 4.137 0.000 Cs
0.000 0.000 4.137 Li
0.000 4.137 0.000 Li
4.137 0.000 0.000 Li
4.137 4.137 4.137 Li
2.068 2.068 2.068 Bi
2.068 2.068 6.205 Bi
2.068 6.205 2.068 Bi
2.068 6.205 6.205 Bi
6.205 2.068 2.068 Bi
6.205 2.068 6.205 Bi
6.205 6.205 2.068 Bi
6.205 6.205 6.205 Bi
```

The energy above the most stable polymorph in this dataset comes out at 31.84 kJ per mole of atoms. The space group is Fm-3m, No. 225. Its formation energy is 25 kJ/mol of formula units. Its calculated density is 6.5 g/cm³. The magnetic moment comes out at 0.0 μB/f.u. The electronic total energy is -0.1888 Ry/atom.

***

Entry from Alexandria via LeMat-Bulk: a relaxed Sm4Ho15Tm crystal (PBE).

Cell and atoms, written as POSCAR:
```
Sm4Ho15Tm
1.0
5.011 0.000 0.000
0.000 5.011 0.000
0.000 0.000 25.018
Sm Ho Tm
4 15 1
Cartesian
0.000 0.000 2.512 Sm
0.000 0.000 7.526 Sm
0.000 0.000 17.492 Sm
0.000 0.000 22.506 Sm
0.000 2.505 0.000 Ho
0.000 2.505 5.022 Ho
0.000 2.505 10.044 Ho
0.000 2.505 14.974 Ho
0.000 2.505 19.996 Ho
2.505 0.000 0.000 Ho
2.505 0.000 5.022 Ho
2.505 0.000 10.044 Ho
2.505 0.000 14.974 Ho
2.505 0.000 19.996 Ho
2.505 2.505 2.509 Ho
2.505 2.505 7.537 Ho
2.505 2.505 12.509 Ho
2.505 2.505 17.482 Ho
2.505 2.505 22.510 Ho
0.000 0.000 12.509 Tm
```

The space group is P4/mmm, No. 123. Its formation energy is 39 kJ/mol of formula units. Its calculated density is 8.6 g/cm³. The magnetic moment comes out at 0.0 μB/f.u. The electronic total energy is -0.3367 Ry/atom.

***

Entry from Alexandria via LeMat-Bulk: a relaxed AlTl2Br crystal (PBE).

Cell and atoms, written as POSCAR:
```
AlTl2Br
1.0
3.532 0.000 0.000
0.000 5.747 0.000
0.000 0.000 11.141
Al Tl Br
2 4 2
Cartesian
0.000 0.000 0.000 Al
1.766 2.874 5.571 Al
0.000 0.000 5.682 Tl
0.000 2.874 8.150 Tl
1.766 0.000 2.579 Tl
1.766 2.874 0.111 Tl
0.000 2.874 3.388 Br
1.766 0.000 8.959 Br
```

The energy above the most stable polymorph in this dataset comes out at 2.42 kJ per mole of atoms. The space group is Imm2, No. 44. Its calculated density is 7.6 g/cm³. The value obtained for the energy relative to the elements, uncorrected is -64 meV/atom. The magnetic moment comes out at 0.0 μB/f.u. The electronic total energy is -0.1912 Ry/atom.

***

Entry from Alexandria via LeMat-Bulk: a relaxed Ba2Cd6Au3 crystal (PBE).

Cell and atoms, written as POSCAR:
```
Ba2Cd6Au3
1.0
8.693 0.000 0.000
-4.347 7.528 0.000
0.000 0.000 4.566
Ba Cd Au
2 6 3
Cartesian
0.000 5.019 0.000 Ba
4.347 2.509 0.000 Ba
-0.850 1.472 0.000 Cd
-3.118 5.401 2.283 Cd
1.699 0.000 0.000 Cd
1.228 2.128 2.283 Cd
6.236 0.000 2.283 Cd
3.497 6.057 0.000 Cd
-1.704 2.951 2.283 Au
3.407 0.000 2.283 Au
2.643 4.578 2.283 Au
```

The space group is P-62m, No. 189. Its formation energy is -424 kJ/mol of formula units. Its calculated density is 8.6 g/cm³. The magnetic moment comes out at 0.0 μB/f.u. The electronic total energy is -0.1574 Ry/atom.

***

Entry from Alexandria via LeMat-Bulk: a relaxed Ca2InSi crystal (PBE).

Cell and atoms, written as POSCAR:
```
Ca2InSi
1.0
3.801 0.000 0.000
0.000 5.001 0.000
0.000 0.000 11.225
Ca In Si
4 2 2
Cartesian
0.000 0.000 0.000 Ca
0.000 2.501 2.411 Ca
1.900 0.000 8.024 Ca
1.900 2.501 5.612 Ca
0.000 2.501 8.919 In
1.900 0.000 3.306 In
0.000 0.000 5.315 Si
1.900 2.501 10.927 Si
```

The space group is Imm2, No. 44. Its calculated density is 3.5 g/cm³. The value obtained for the energy relative to the elements, uncorrected is -288 meV/atom. The magnetic moment comes out at 0.0 μB/f.u. The electronic total energy is -0.2447 Ry/atom.

***

Entry from Alexandria via LeMat-Bulk: a relaxed KRbTeN2 crystal (PBE).

Cell and atoms, written as POSCAR:
```
KRbTeN2
1.0
5.492 0.000 0.000
0.000 5.492 0.000
0.000 0.000 6.736
K Rb Te N
1 1 1 2
Cartesian
0.000 0.000 0.000 K
2.746 2.746 3.368 Rb
0.000 0.000 3.368 Te
0.000 2.746 0.000 N
2.746 0.000 0.000 N
```

The energy above the most stable polymorph in this dataset comes out at 0.00 kJ per mole of atoms. The space group is P4/mmm, No. 123. Its calculated density is 2.3 g/cm³. The value obtained for the energy relative to the elements, uncorrected is 1402 meV/atom. The magnetic moment comes out at 6.0 μB/f.u. The electronic total energy is -0.2183 Ry/atom.

***

Entry from Alexandria via LeMat-Bulk: a relaxed Al2CuSi crystal (PBE).

Cell and atoms, written as POSCAR:
```
Al2CuSi
1.0
2.739 0.000 0.000
-1.369 2.372 0.000
0.000 0.000 27.139
Al Cu Si
6 3 3
Cartesian
0.000 0.000 0.000 Al
0.000 0.000 6.668 Al
0.000 1.581 18.093 Al
0.000 1.581 24.760 Al
1.369 0.791 9.046 Al
1.369 0.791 15.714 Al
0.000 0.000 20.214 Cu
0.000 1.581 11.168 Cu
1.369 0.791 2.122 Cu
0.000 0.000 13.215 Si
0.000 1.581 4.169 Si
1.369 0.791 22.262 Si
```

The space group is R3m, No. 160. Its calculated density is 4.1 g/cm³. The value obtained for the energy relative to the elements, uncorrected is 57 meV/atom. The magnetic moment comes out at 0.0 μB/f.u. The electronic total energy is -0.3082 Ry/atom.

***

Entry from Alexandria via LeMat-Bulk: a relaxed La2Nd4Hg crystal (PBE).

Cell and atoms, written as POSCAR:
```
La2Nd4Hg
1.0
17.246 0.000 0.000
0.000 3.621 0.000
-4.062 0.000 7.697
La Nd Hg
4 8 2
Cartesian
3.159 0.000 1.091 La
1.402 1.811 6.606 La
11.782 1.811 1.091 La
10.025 0.000 6.606 La
-1.448 0.000 5.401 Nd
0.584 1.811 2.910 Nd
3.977 0.000 4.787 Nd
6.009 1.811 2.296 Nd
7.175 1.811 5.401 Nd
9.207 0.000 2.910 Nd
12.600 1.811 4.787 Nd
14.632 0.000 2.296 Nd
0.000 0.000 0.000 Hg
8.623 1.811 0.000 Hg
```

The space group is C2/m, No. 12. Its formation energy is -5 kJ/mol of formula units. Its calculated density is 7.3 g/cm³. The magnetic moment comes out at 0.0 μB/f.u. The electronic total energy is -0.3074 Ry/atom.

***

Entry from Alexandria via LeMat-Bulk: a relaxed LaNd2ErHg4 crystal (PBE).

Cell and atoms, written as POSCAR:
```
LaNd2ErHg4
1.0
2.692 1.554 8.895
-2.692 1.554 8.895
0.000 -3.109 8.895
La Nd Er Hg
1 2 1 4
Cartesian
0.000 0.000 0.000 La
0.000 0.000 6.651 Nd
0.000 0.000 20.036 Nd
0.000 0.000 13.343 Er
0.000 0.000 3.412 Hg
0.000 0.000 10.125 Hg
0.000 0.000 16.561 Hg
0.000 0.000 23.274 Hg
```

The space group is R-3m, No. 166. Its formation energy is -361 kJ/mol of formula units. Its calculated density is 10.4 g/cm³. The magnetic moment comes out at 1.4 μB/f.u. The electronic total energy is -0.2203 Ry/atom.

***

Entry from Alexandria via LeMat-Bulk: a relaxed Pm5Sm4Ho crystal (PBE).

Cell and atoms, written as POSCAR:
```
Pm5Sm4Ho
1.0
-5.292 5.292 3.083
5.292 -5.292 3.083
5.292 5.292 -3.083
Pm Sm Ho
5 4 1
Cartesian
0.000 0.000 0.000 Pm
3.293 3.293 1.401 Pm
1.999 -1.999 4.484 Pm
-1.999 1.999 4.484 Pm
1.999 1.999 4.484 Pm
3.430 0.000 1.544 Sm
7.155 0.000 1.544 Sm
0.000 3.430 1.544 Sm
0.000 7.155 1.544 Sm
0.000 0.000 2.876 Ho
```

The energy above the most stable polymorph in this dataset comes out at 3.14 kJ per mole of atoms. The space group is I4mm, No. 107. Its formation energy is 231 kJ/mol of formula units. Its calculated density is 7.2 g/cm³. The magnetic moment comes out at 0.0 μB/f.u. The electronic total energy is -0.3294 Ry/atom.